# 1
ErZrTcAu: relaxed, PBE.

Values from the calculation:
energy of formation from the pure elements: -383 meV/atom
electronic total energy: -113.15 eV for the cell shown
mass density: 11527 kg/m3

a b c (Å): 6.832 6.832 6.832
angles (deg): 90.00 90.00 90.00
Space group F-43m (No. 216)
Symmetry-distinct sites (fractional):
Er (0.000, 0.000, 0.000) x4
Zr (0.000, 0.000, 0.500) x4
Tc (0.250, 0.250, 0.250) x4
Au (0.250, 0.250, 0.750) x4

***

# 2
CaInIrRh: relaxed, PBE.

Values from the calculation:
energy of formation from the pure elements: -262 meV/atom
electronic total energy: -88.01 eV for the cell shown
mass density: 10279 kg/m3

a b c (Å): 6.625 6.625 6.625
angles (deg): 90.00 90.00 90.00
Space group F-43m (No. 216)
Symmetry-distinct sites (fractional):
Ca (0.000, 0.000, 0.000) x4
In (0.000, 0.000, 0.500) x4
Ir (0.250, 0.250, 0.750) x4
Rh (0.250, 0.250, 0.250) x4

***

# 3
KTbZnBr6: relaxed, PBE.

Values from the calculation:
E_form (uncorrected): -1293 kJ/mol of formula units
electronic total energy: -60.87 eV for the cell shown
mass density: 3842 kg/m3

a b c (Å): 7.1073 7.1073 14.6789
angles (deg): 90.00 90.00 120.00
Space group P-31c (No. 163)
Symmetry-distinct sites (fractional):
K (0.0000, 0.0000, 0.0000) x2
Tb (0.3333, 0.6667, 0.2500) x2
Zn (0.3333, 0.6667, 0.7500) x2
Br (0.0169, 0.3792, 0.6426) x12

***

# 4
Ba2TeN2: relaxed, PBE.

Values from the calculation:
E_form (uncorrected): 2 kJ/mol of formula units
electronic total energy: -47.23 eV for the cell shown
mass density: 6299 kg/m3

a b c (Å): 7.455 7.455 4.082
angles (deg): 90.00 90.00 90.00
Space group P4/mbm (No. 127)
Symmetry-distinct sites (fractional):
Ba (0.153, 0.347, 0.000) x4
Te (0.000, 0.000, 0.500) x2
N (0.178, 0.678, 0.500) x4